[1]
DFT (GGA-PBE) results for a relaxed ErSc4Cd crystal.

Computed properties:
Its space group is P4/mmm, No. 123. For the distance to the lowest polymorph of the same formula, the calculation gives 0.00 eV/f.u.

Lattice parameters (Å, degrees): 3.3283 3.3283 13.3928 90.00 90.00 90.00
Last column: nearest neighbours and their distance in Å.
Fractional positions:
Er: 0.0000 0.0000 0.0000  4 Er 3.33, 8 Sc 3.37
Sc: 0.0000 0.0000 0.3479  4 Cd 3.11, 8 Sc 3.25-3.33
Sc: 0.0000 0.0000 0.6521  4 Cd 3.11, 8 Sc 3.25-3.33
Sc: 0.5000 0.5000 0.1802  8 Sc 3.25-3.33, 4 Er 3.37
Sc: 0.5000 0.5000 0.8198  8 Sc 3.25-3.33, 4 Er 3.37
Cd: 0.5000 0.5000 0.5000  8 Sc 3.11, 4 Cd 3.33

---

[2]
DFT (GGA-PBE) results for a relaxed Er2ScCd crystal.

Computed properties:
Its space group is P4/mmm, No. 123. For the distance to the lowest polymorph of the same formula, the calculation gives 0.00 eV/f.u.

Lattice parameters (Å, degrees): 3.5225 3.5225 8.6213 90.00 90.00 90.00
Last column: nearest neighbours and their distance in Å.
Fractional positions:
Er: 0.0000 0.0000 0.2420  4 Cd 3.25, 4 Sc 3.34, 4 Er 3.52
Er: 0.0000 0.0000 0.7580  4 Cd 3.25, 4 Sc 3.34, 4 Er 3.52
Sc: 0.5000 0.5000 0.5000  8 Er 3.34, 4 Sc 3.52
Cd: 0.5000 0.5000 0.0000  8 Er 3.25, 4 Cd 3.52

---

[3]
DFT (GGA-PBE) results for a relaxed Er6ScCd crystal.

Computed properties:
Its space group is R-3, No. 148.

Lattice parameters (Å, degrees): 6.1649 6.1649 6.1649 93.66 93.66 93.66
Last column: nearest neighbours and their distance in Å.
Fractional positions:
Er: 0.0359 0.7551 0.5450  1 Cd 3.13, 4 Er 3.16-3.50, 1 Sc 3.37
Er: 0.2449 0.4550 0.9641  1 Cd 3.13, 4 Er 3.16-3.50, 1 Sc 3.37
Er: 0.4550 0.9641 0.2449  1 Cd 3.13, 4 Er 3.16-3.50, 1 Sc 3.37
Er: 0.5450 0.0359 0.7551  1 Cd 3.13, 4 Er 3.16-3.50, 1 Sc 3.37
Er: 0.7551 0.5450 0.0359  1 Cd 3.13, 4 Er 3.16-3.50, 1 Sc 3.37
Er: 0.9641 0.2449 0.4550  1 Cd 3.13, 4 Er 3.16-3.50, 1 Sc 3.37
Sc: 0.5000 0.5000 0.5000  12 Er 3.37-3.55
Cd: 0.0000 0.0000 0.0000  6 Er 3.13

---

[4]
DFT (GGA-PBE) results for a relaxed ErSc5Cd6 crystal.

Computed properties:
Its space group is C2/m, No. 12.

Lattice parameters (Å, degrees): 8.7108 8.7108 5.0251 106.45 106.45 48.76
Last column: nearest neighbours and their distance in Å.
Fractional positions:
Er: 0.0000 0.0000 0.0000  8 Cd 3.15-3.16, 2 Sc 3.52
Sc: 0.1644 0.1644 0.6643  8 Cd 3.05-3.12
Sc: 0.3319 0.3319 0.3319  8 Cd 3.05-3.06
Sc: 0.5000 0.5000 0.0000  8 Cd 3.04-3.10
Sc: 0.6681 0.6681 0.6681  8 Cd 3.05-3.06
Sc: 0.8356 0.8356 0.3357  8 Cd 3.05-3.12
Cd: 0.0867 0.5736 0.8304  7 Sc 3.05-3.12, 1 Er 3.16
Cd: 0.2631 0.7369 0.5000  6 Sc 3.04-3.12, 2 Er 3.15
Cd: 0.4264 0.9133 0.1696  7 Sc 3.05-3.12, 1 Er 3.16
Cd: 0.5736 0.0867 0.8304  7 Sc 3.05-3.12, 1 Er 3.16
Cd: 0.7369 0.2631 0.5000  6 Sc 3.04-3.12, 2 Er 3.15
Cd: 0.9133 0.4264 0.1696  7 Sc 3.05-3.12, 1 Er 3.16

---

[5]
DFT (GGA-PBE) results for a relaxed ErSc2Cd6 crystal.

Computed properties:
Its space group is P6/mmm, No. 191.

Lattice parameters (Å, degrees): 8.4840 8.4840 3.2827 90.00 90.00 120.00
Last column: nearest neighbours and their distance in Å.
Fractional positions:
Er: 0.0000 0.0000 0.0000  2 Er 3.28, 12 Cd 3.29
Sc: 0.3333 0.6667 0.0000  12 Cd 3.26, 2 Sc 3.28
Sc: 0.6667 0.3333 0.0000  12 Cd 3.26, 2 Sc 3.28
Cd: 0.0000 0.3360 0.5000  3 Cd 2.78-2.85
Cd: 0.0000 0.6640 0.5000  3 Cd 2.78-2.85
Cd: 0.3360 0.0000 0.5000  3 Cd 2.78-2.85
Cd: 0.3360 0.3360 0.5000  3 Cd 2.78-2.85
Cd: 0.6640 0.0000 0.5000  3 Cd 2.78-2.85
Cd: 0.6640 0.6640 0.5000  3 Cd 2.78-2.85

---

[6]
DFT (GGA-PBE) results for a relaxed Er4ScCd5 crystal.

Computed properties:
Its space group is P4/mmm, No. 123.

Lattice parameters (Å, degrees): 3.6726 3.6726 18.4509 90.00 90.00 90.00
Last column: nearest neighbours and their distance in Å.
Fractional positions:
Er: 0.0000 0.0000 0.1021  8 Cd 3.21
Er: 0.0000 0.0000 0.3057  8 Cd 3.20-3.23, 1 Sc 3.59
Er: 0.0000 0.0000 0.6943  8 Cd 3.20-3.23, 1 Sc 3.59
Er: 0.0000 0.0000 0.8979  8 Cd 3.21
Sc: 0.0000 0.0000 0.5000  8 Cd 3.09
Cd: 0.5000 0.5000 0.0000  8 Er 3.21
Cd: 0.5000 0.5000 0.2039  8 Er 3.20-3.21
Cd: 0.5000 0.5000 0.4094  4 Sc 3.09, 4 Er 3.23, 1 Cd 3.34
Cd: 0.5000 0.5000 0.5906  4 Sc 3.09, 4 Er 3.23, 1 Cd 3.34
Cd: 0.5000 0.5000 0.7961  8 Er 3.20-3.21

---

[7]
DFT (GGA-PBE) results for a relaxed Er2Sc2Cd crystal.

Computed properties:
Its space group is C2/c, No. 15. For the distance to the lowest polymorph of the same formula, the calculation gives 0.00 eV/f.u.

Lattice parameters (Å, degrees): 7.8355 7.8355 6.3507 103.66 103.66 43.53
Last column: nearest neighbours and their distance in Å.
Fractional positions:
Er: 0.0117 0.1944 0.4600  3 Cd 3.26-3.43, 5 Sc 3.27-3.33, 4 Er 3.34-3.47
Er: 0.1944 0.0117 0.9600  3 Cd 3.26-3.43, 5 Sc 3.27-3.33, 4 Er 3.34-3.47
Er: 0.8056 0.9883 0.0400  3 Cd 3.26-3.43, 5 Sc 3.27-3.33, 4 Er 3.34-3.47
Er: 0.9883 0.8056 0.5400  3 Cd 3.26-3.43, 5 Sc 3.27-3.33, 4 Er 3.34-3.47
Sc: 0.2173 0.3880 0.8562  2 Cd 3.26-3.29, 5 Er 3.27-3.33, 5 Sc 3.28-3.40
Sc: 0.3880 0.2173 0.3562  2 Cd 3.26-3.29, 5 Er 3.27-3.33, 5 Sc 3.28-3.40
Sc: 0.6120 0.7827 0.6438  2 Cd 3.26-3.29, 5 Er 3.27-3.33, 5 Sc 3.28-3.40
Sc: 0.7827 0.6120 0.1438  2 Cd 3.26-3.29, 5 Er 3.27-3.33, 5 Sc 3.28-3.40
Cd: 0.4184 0.5816 0.2500  4 Sc 3.26-3.29, 6 Er 3.26-3.43, 2 Cd 3.31
Cd: 0.5816 0.4184 0.7500  4 Sc 3.26-3.29, 6 Er 3.26-3.43, 2 Cd 3.31

---

[8]
DFT (GGA-PBE) results for a relaxed ErSc4Cd crystal.

Computed properties:
Its space group is C2/c, No. 15. For the distance to the lowest polymorph of the same formula, the calculation gives 0.61 eV/f.u.

Lattice parameters (Å, degrees): 5.5451 5.5451 10.7856 92.07 92.07 63.93
Last column: nearest neighbours and their distance in Å.
Fractional positions:
Er: 0.0000 0.5000 0.0000  10 Sc 3.16-3.37
Er: 0.5000 0.0000 0.5000  10 Sc 3.16-3.37
Sc: 0.1313 0.2076 0.7340  2 Cd 3.10-3.12, 5 Sc 3.14-3.32, 2 Er 3.16-3.19
Sc: 0.1608 0.6724 0.5270  1 Cd 2.95, 3 Sc 3.14-3.20, 1 Er 3.16
Sc: 0.2076 0.1313 0.2340  2 Cd 3.10-3.12, 5 Sc 3.14-3.32, 2 Er 3.16-3.19
Sc: 0.3276 0.8392 0.9730  1 Cd 2.95, 3 Sc 3.14-3.20, 1 Er 3.16
Sc: 0.6724 0.1608 0.0270  1 Cd 2.95, 3 Sc 3.14-3.20, 1 Er 3.16
Sc: 0.7924 0.8687 0.7660  2 Cd 3.10-3.12, 5 Sc 3.14-3.32, 2 Er 3.16-3.19
Sc: 0.8392 0.3276 0.4730  1 Cd 2.95, 3 Sc 3.14-3.20, 1 Er 3.16
Sc: 0.8687 0.7924 0.2660  2 Cd 3.10-3.12, 5 Sc 3.14-3.32, 2 Er 3.16-3.19
Cd: 0.4896 0.5104 0.2500  6 Sc 2.95-3.12
Cd: 0.5104 0.4896 0.7500  6 Sc 2.95-3.12

---

Number 1: E_form -0.065 eV per atom. Number 2: E_form -0.133 eV per atom. Number 3: E_form 0.065 eV per atom. Number 4: E_form -0.291 eV per atom. Number 5: E_form -0.251 eV per atom. Number 6: E_form -0.308 eV per atom. Number 7: E_form -0.057 eV per atom. Number 8: E_form 0.038 eV per atom.